*i*
First-principles (PBE) data for an optimized crystal structure of La5SmY, as listed in Alexandria.

Cell: 5.9659 8.1582 8.1582 Å, 66.76 68.53 68.53°
Fractional coordinates of all 7 atoms:
La 0.7522 0.2478 0.2478
La 0.0000 0.3205 0.6795
La 0.5000 0.0000 0.0000
La 0.0000 0.6795 0.3205
La 0.2478 0.7522 0.7522
Sm 0.0000 0.0000 0.0000
Y 0.5000 0.5000 0.5000

Output
Calculated density = 4.7 g/cm³

*ii*
First-principles (PBE) data for an optimized crystal structure of La5SmY, as listed in Alexandria.

Cell: 9.0312 9.0312 13.5293 Å, 45.94 45.94 44.19°
Fractional coordinates of all 14 atoms:
La 0.7512 0.7465 0.0913
La 0.3354 0.3302 0.5923
La 0.7465 0.7512 0.5913
La 0.2415 0.7585 0.2500
La 0.6698 0.6646 0.9077
La 0.3302 0.3354 0.0923
La 0.7585 0.2415 0.7500
La 0.2535 0.2488 0.4087
La 0.6646 0.6698 0.4077
La 0.2488 0.2535 0.9087
Sm 0.0000 0.0000 0.0000
Sm 0.0000 0.0000 0.5000
Y 0.7615 0.2385 0.2500
Y 0.2385 0.7615 0.7500

Output
Calculated density = 6.1 g/cm³

Which one sits at the top of the stability order? *ii* does.

*i*
First-principles (PBE) data for an optimized crystal structure of LaSm3Y6, as listed in Alexandria.

Cell: 6.4038 10.9762 10.9762 Å, 119.51 90.00 90.00°
Fractional coordinates of all 20 atoms:
La 0.1467 0.1911 0.8089
La 0.6467 0.8089 0.1911
Sm 0.4600 0.9314 0.7065
Sm 0.9600 0.7065 0.9314
Sm 0.0673 0.3883 0.6117
Sm 0.5673 0.6117 0.3883
Sm 0.9600 0.0686 0.2935
Sm 0.4600 0.2935 0.0686
Y 0.0429 0.7104 0.6211
Y 0.5429 0.6211 0.7104
Y 0.3681 0.5279 0.9445
Y 0.8681 0.9445 0.5279
Y 0.3656 0.9586 0.0414
Y 0.6638 0.2683 0.7317
Y 0.1638 0.7317 0.2683
Y 0.8656 0.0414 0.9586
Y 0.3681 0.0555 0.4721
Y 0.8681 0.4721 0.0555
Y 0.0429 0.3789 0.2896
Y 0.5429 0.2896 0.3789

Output
Calculated density = 5.6 g/cm³

*ii*
First-principles (PBE) data for an optimized crystal structure of LaSm3Y6, as listed in Alexandria.

Cell: 9.9915 9.9915 6.9587 Å, 44.12 44.12 60.00°
Fractional coordinates of all 10 atoms:
La 0.9004 0.9004 0.2987
Sm 0.4005 0.4005 0.7985
Sm 0.6489 0.6489 0.0533
Sm 0.1524 0.1524 0.5429
Y 0.8996 0.5702 0.3010
Y 0.2291 0.8996 0.3010
Y 0.5702 0.2291 0.3010
Y 0.0741 0.3997 0.8011
Y 0.7251 0.0741 0.8011
Y 0.3997 0.7251 0.8011

Output
Calculated density = 5.5 g/cm³

Which one sits at the top of the stability order? *i* does.

*i*
First-principles (PBE) data for an optimized crystal structure of La4SmY2, as listed in Alexandria.

Cell: 7.0164 9.1399 9.1399 Å, 79.05 67.43 67.43°
Fractional coordinates of all 14 atoms:
La 0.1507 0.3488 0.3498
La 0.1507 0.8498 0.8488
La 0.2220 0.2442 0.7442
La 0.7895 0.2442 0.7442
La 0.2105 0.7558 0.2558
La 0.8493 0.1502 0.1512
La 0.7780 0.7558 0.2558
La 0.8493 0.6512 0.6502
Sm 0.0000 0.5000 0.0000
Sm 0.5000 0.5000 0.0000
Y 0.2846 0.9654 0.4654
Y 0.5000 0.0000 0.0000
Y 0.5000 0.5000 0.5000
Y 0.7154 0.0346 0.5346

Output
Calculated density = 5.9 g/cm³

*ii*
First-principles (PBE) data for an optimized crystal structure of La4SmY2, as listed in Alexandria.

Cell: 12.8075 12.8075 6.9303 Å, 96.96 96.98 150.28°
Fractional coordinates of all 14 atoms:
La 0.7155 0.1801 0.8698
La 0.1800 0.7156 0.3698
La 0.1885 0.7940 0.9104
La 0.7939 0.1886 0.4104
La 0.0304 0.1352 0.5894
La 0.5608 0.5966 0.1332
La 0.5968 0.5607 0.6332
La 0.1352 0.0302 0.0894
Sm 0.4204 0.6706 0.4998
Sm 0.6704 0.4202 0.9998
Y 0.6267 0.3116 0.4528
Y 0.9230 0.1080 0.0461
Y 0.1081 0.9231 0.5461
Y 0.3114 0.6266 0.9527

Output
Calculated density = 5.9 g/cm³

Which one sits at the top of the stability order? *ii* does.

*i*
First-principles (PBE) data for an optimized crystal structure of La6SmY2, as listed in Alexandria.

Cell: 3.7223 10.2860 10.2860 Å, 125.20 85.96 85.96°
Fractional coordinates of all 9 atoms:
La 0.8150 0.5029 0.1589
La 0.1850 0.4971 0.8411
La 0.6969 0.6693 0.6693
La 0.8150 0.1589 0.5029
La 0.1850 0.8411 0.4971
La 0.3031 0.3307 0.3307
Sm 0.0000 0.0000 0.0000
Y 0.5000 0.8387 0.1613
Y 0.5000 0.1613 0.8387

Output
Calculated density = 6.1 g/cm³

*ii*
First-principles (PBE) data for an optimized crystal structure of La6SmY2, as listed in Alexandria.

Cell: 9.4734 6.5796 6.5796 Å, 120.00 90.00 90.00°
Fractional coordinates of all 9 atoms:
La 0.2030 0.0000 0.3612
La 0.2030 0.6388 0.6388
La 0.7970 0.0000 0.6388
La 0.7970 0.6388 0.0000
La 0.7970 0.3612 0.3612
La 0.2030 0.3612 0.0000
Sm 0.0000 0.0000 0.0000
Y 0.5000 0.6667 0.3333
Y 0.5000 0.3333 0.6667

Output
Calculated density = 5.4 g/cm³

Which one sits at the top of the stability order? *i* does.

*i*
First-principles (PBE) data for an optimized crystal structure of La4Sm3Y4, as listed in Alexandria.

Cell: 5.8199 6.7311 10.8232 Å, 90.00 90.00 115.61°
Fractional coordinates of all 11 atoms:
La 0.7657 0.5315 0.7940
La 0.7657 0.5315 0.2060
La 0.8765 0.7529 0.5000
La 0.9575 0.9150 0.0000
Sm 0.4079 0.8158 0.2920
Sm 0.4079 0.8158 0.7080
Sm 0.2519 0.5039 0.0000
Y 0.6046 0.2093 0.5000
Y 0.5530 0.1059 0.0000
Y 0.1038 0.2077 0.6971
Y 0.1038 0.2077 0.3029

Output
Calculated density = 5.9 g/cm³

*ii*
First-principles (PBE) data for an optimized crystal structure of La4Sm3Y4, as listed in Alexandria.

Cell: 3.6187 9.5015 12.4393 Å, 112.45 98.36 90.00°
Fractional coordinates of all 11 atoms:
La 0.6446 0.4755 0.2892
La 0.3554 0.1863 0.7108
La 0.3554 0.5245 0.7108
La 0.6446 0.8137 0.2892
Sm 0.8935 0.8935 0.7871
Sm 0.1065 0.1065 0.2129
Sm 0.0000 0.5000 0.0000
Y 0.7371 0.2371 0.4741
Y 0.2629 0.7629 0.5259
Y 0.5000 0.8170 0.0000
Y 0.5000 0.1830 0.0000

Output
Calculated density = 5.8 g/cm³

Which one sits at the top of the stability order? *ii* does.

*i*
First-principles (PBE) data for an optimized crystal structure of La3SmZn2, as listed in Alexandria.

Cell: 3.7635 3.7635 12.5939 Å, 90.00 90.00 90.00°
Fractional coordinates of all 6 atoms:
La 0.0000 0.0000 0.0000
La 0.0000 0.0000 0.7057
La 0.0000 0.0000 0.2943
Sm 0.5000 0.5000 0.5000
Zn 0.5000 0.5000 0.8500
Zn 0.5000 0.5000 0.1500

Output
Calculated density = 6.5 g/cm³

*ii*
First-principles (PBE) data for an optimized crystal structure of La3SmZn2, as listed in Alexandria.

Cell: 5.3105 6.8435 9.6281 Å, 90.00 90.00 90.00°
Fractional coordinates of all 12 atoms:
La 0.0000 0.4982 0.9399
La 0.0000 0.9982 0.0601
La 0.5000 0.6774 0.1727
La 0.5000 0.1774 0.8273
La 0.0000 0.3155 0.3308
La 0.0000 0.8155 0.6692
Sm 0.5000 0.5080 0.5565
Sm 0.5000 0.0080 0.4435
Zn 0.5000 0.7179 0.8444
Zn 0.5000 0.2179 0.1556
Zn 0.0000 0.2830 0.6493
Zn 0.0000 0.7830 0.3507

Output
Calculated density = 6.6 g/cm³

Which one sits at the top of the stability order? *ii* does.